# Sr2SbPd | the Alexandria database | GGA-PBE | optimized geometry
# Crystal system: tetragonal
# Formation energy from raw total energies: -11.23 kcal/mol of atoms
data_Sr2SbPd
_chemical_formula_sum 'Sr8 Sb4 Pd4'
_symmetry_space_group_name_H-M 'I -4 2 d'
_symmetry_Int_Tables_number 122
_symmetry_space_group_name_Hall 'I -4 2bw'
_cell_length_a 8.535
_cell_length_b 8.535
_cell_length_c 6.956
_cell_angle_alpha 90.00
_cell_angle_beta 90.00
_cell_angle_gamma 90.00
loop_
_atom_site_label
_atom_site_fract_x
_atom_site_fract_y
_atom_site_fract_z
_atom_site_occupancy
Sr1 0.217 0.250 0.125 1
Sb1 0.000 0.000 0.500 1
Pd1 0.000 0.000 0.000 1

# SrSb3Pd3 | the Alexandria database | GGA-PBE | optimized geometry
# Crystal system: cubic
# Formation energy from raw total energies: -9.27 kcal/mol of atoms
data_SrSb3Pd3
_chemical_formula_sum 'Sr2 Sb6 Pd6'
_symmetry_space_group_name_H-M 'P m -3 n'
_symmetry_Int_Tables_number 223
_symmetry_space_group_name_Hall '-P 4n 2 3'
_cell_length_a 7.340
_cell_length_b 7.340
_cell_length_c 7.340
_cell_angle_alpha 90.00
_cell_angle_beta 90.00
_cell_angle_gamma 90.00
loop_
_atom_site_label
_atom_site_fract_x
_atom_site_fract_y
_atom_site_fract_z
_atom_site_occupancy
Sr1 0.000 0.000 0.000 1
Sb1 0.000 0.250 0.500 1
Pd1 0.000 0.500 0.250 1

# Sr2SbPd7 | the Alexandria database | GGA-PBE | optimized geometry
# Crystal system: tetragonal
# Formation energy from raw total energies: -8.78 kcal/mol of atoms
data_Sr2SbPd7
_chemical_formula_sum 'Sr2 Sb1 Pd7'
_symmetry_space_group_name_H-M 'P -4 m 2'
_symmetry_Int_Tables_number 115
_cell_length_a 4.221
_cell_length_b 4.221
_cell_length_c 11.973
_cell_angle_alpha 90.00
_cell_angle_beta 90.00
_cell_angle_gamma 90.00
loop_
_symmetry_equiv_pos_as_xyz
'x,y,z'
'y,-x,-z'
'-x,-y,z'
'-y,x,-z'
'-x,y,z'
'-y,-x,-z'
'x,-y,z'
'y,x,-z'
loop_
_atom_site_label
_atom_site_fract_x
_atom_site_fract_y
_atom_site_fract_z
_atom_site_occupancy
Sr1 0.000 0.500 0.226 1
Sb1 0.000 0.000 0.500 1
Pd1 0.000 0.000 0.000 1
Pd2 0.000 0.500 0.641 1
Pd3 0.000 0.500 0.858 1
Pd4 0.500 0.500 0.000 1
Pd5 0.500 0.500 0.500 1

# Sr2SbPd2 | the Alexandria database | GGA-PBE | optimized geometry
# Crystal system: monoclinic
# Formation energy from raw total energies: -18.51 kcal/mol of atoms
# Polymorph energy (0 for the lowest one): 0.000 eV per atom
data_Sr2SbPd2
_chemical_formula_sum 'Sr8 Sb4 Pd8'
_symmetry_space_group_name_H-M 'C 1 2/c 1'
_symmetry_Int_Tables_number 15
_cell_length_a 10.301
_cell_length_b 5.966
_cell_length_c 8.594
_cell_angle_alpha 90.00
_cell_angle_beta 103.35
_cell_angle_gamma 90.00
loop_
_symmetry_equiv_pos_as_xyz
'x,y,z'
'-x,-y,-z'
'-x,y,-z+1/2'
'x,-y,z+1/2'
'x+1/2,y+1/2,z'
'-x+1/2,-y+1/2,-z'
'-x+1/2,y+1/2,-z+1/2'
'x+1/2,-y+1/2,z+1/2'
loop_
_atom_site_label
_atom_site_fract_x
_atom_site_fract_y
_atom_site_fract_z
_atom_site_occupancy
Sr1 0.150 0.142 0.151 1
Sb1 0.000 0.345 0.750 1
Pd1 0.130 0.373 0.493 1

# Sr2SbPd | the Alexandria database | GGA-PBE | optimized geometry
# Crystal system: monoclinic
# Formation energy from raw total energies: -18.55 kcal/mol of atoms
data_Sr2SbPd
_chemical_formula_sum 'Sr4 Sb2 Pd2'
_symmetry_space_group_name_H-M 'P 1 21/m 1'
_symmetry_Int_Tables_number 11
_cell_length_a 6.329
_cell_length_b 4.770
_cell_length_c 8.898
_cell_angle_alpha 90.00
_cell_angle_beta 109.25
_cell_angle_gamma 90.00
loop_
_symmetry_equiv_pos_as_xyz
'x,y,z'
'-x,-y,-z'
'-x,y+1/2,-z'
'x,-y+1/2,z'
loop_
_atom_site_label
_atom_site_fract_x
_atom_site_fract_y
_atom_site_fract_z
_atom_site_occupancy
Sr1 0.196 0.250 0.421 1
Sr2 0.281 0.750 0.064 1
Sb1 0.357 0.750 0.711 1
Pd1 0.176 0.250 0.779 1

# Sr2SbPd6 | the Alexandria database | GGA-PBE | optimized geometry
# Crystal system: monoclinic
# Formation energy from raw total energies: -13.37 kcal/mol of atoms
data_Sr2SbPd6
_chemical_formula_sum 'Sr4 Sb2 Pd12'
_symmetry_space_group_name_H-M 'C 1 2/m 1'
_symmetry_Int_Tables_number 12
_cell_length_a 10.288
_cell_length_b 5.899
_cell_length_c 6.348
_cell_angle_alpha 90.00
_cell_angle_beta 104.95
_cell_angle_gamma 90.00
loop_
_symmetry_equiv_pos_as_xyz
'x,y,z'
'-x,-y,-z'
'-x,y,-z'
'x,-y,z'
'x+1/2,y+1/2,z'
'-x+1/2,-y+1/2,-z'
'-x+1/2,y+1/2,-z'
'x+1/2,-y+1/2,z'
loop_
_atom_site_label
_atom_site_fract_x
_atom_site_fract_y
_atom_site_fract_z
_atom_site_occupancy
Sr1 0.138 0.000 0.328 1
Sb1 0.000 0.500 0.500 1
Pd1 0.119 0.500 0.179 1
Pd2 0.142 0.239 0.820 1

# SrTaSb2Pd | the Alexandria database | GGA-PBE | optimized geometry
# Crystal system: tetragonal
# Formation energy from raw total energies: 15.23 kcal/mol of atoms
data_SrTaSb2Pd
_chemical_formula_sum 'Sr1 Ta1 Sb2 Pd1'
_symmetry_space_group_name_H-M 'P 4/m m m'
_symmetry_Int_Tables_number 123
_symmetry_space_group_name_Hall '-P 4 2'
_cell_length_a 5.221
_cell_length_b 5.221
_cell_length_c 5.291
_cell_angle_alpha 90.00
_cell_angle_beta 90.00
_cell_angle_gamma 90.00
loop_
_atom_site_label
_atom_site_fract_x
_atom_site_fract_y
_atom_site_fract_z
_atom_site_occupancy
Sr1 0.000 0.000 0.000 1
Ta1 0.500 0.500 0.000 1
Sb1 0.000 0.500 0.500 1
Pd1 0.000 0.000 0.500 1

# Sr2TbSb4Pd3 | the Alexandria database | GGA-PBE | optimized geometry
# Crystal system: tetragonal
# Formation energy from raw total energies: -19.29 kcal/mol of atoms
data_Sr2TbSb4Pd3
_chemical_formula_sum 'Sr2 Tb1 Sb4 Pd3'
_symmetry_space_group_name_H-M 'P -4 m 2'
_symmetry_Int_Tables_number 115
_cell_length_a 4.615
_cell_length_b 4.615
_cell_length_c 12.196
_cell_angle_alpha 90.00
_cell_angle_beta 90.00
_cell_angle_gamma 90.00
loop_
_symmetry_equiv_pos_as_xyz
'x,y,z'
'y,-x,-z'
'-x,-y,z'
'-y,x,-z'
'-x,y,z'
'-y,-x,-z'
'x,-y,z'
'y,x,-z'
loop_
_atom_site_label
_atom_site_fract_x
_atom_site_fract_y
_atom_site_fract_z
_atom_site_occupancy
Sr1 0.000 0.500 0.234 1
Tb1 0.000 0.000 0.500 1
Sb1 0.000 0.000 0.000 1
Sb2 0.000 0.500 0.654 1
Sb3 0.500 0.500 0.000 1
Pd1 0.000 0.500 0.877 1
Pd2 0.500 0.500 0.500 1